Record 1
Density functional theory data (PBE) for crystalline Pr2HoAs at its relaxed geometry.

Lattice parameters (Å, degrees): 4.0183 4.0183 28.5666 90.00 90.00 120.00
Closest atoms and distances in Å follow each position.
Sites, in units of the cell vectors:
Pr 0.0000 0.0000 0.2301  3 As 2.94
Pr 0.0000 0.0000 0.7699  3 As 2.94
Pr 0.3333 0.6667 0.4366  3 As 2.94
Pr 0.3333 0.6667 0.8967  3 As 2.94
Pr 0.6667 0.3333 0.1033  3 As 2.94
Pr 0.6667 0.3333 0.5634  3 As 2.94
Ho 0.0000 0.0000 0.0000  6 Pr 3.75, 6 Ho 4.02
Ho 0.3333 0.6667 0.6667  6 Pr 3.75, 6 Ho 4.02
Ho 0.6667 0.3333 0.3333  6 Pr 3.75, 6 Ho 4.02
As 0.0000 0.0000 0.5000  6 Pr 2.94
As 0.3333 0.6667 0.1667  6 Pr 2.94
As 0.6667 0.3333 0.8333  6 Pr 2.94

DFT formation energy	-532	meV/atom

***

Record 2
Density functional theory data (PBE) for crystalline Er6PuSc at its relaxed geometry.

Lattice parameters (Å, degrees): 6.7419 11.9346 6.8191 90.00 118.61 90.00
Closest atoms and distances in Å follow each position.
Sites, in units of the cell vectors:
Er 0.2359 0.2162 0.2504  1 Pu 3.08, 1 Sc 3.13, 3 Er 3.37-3.41
Er 0.2359 0.7838 0.2504  1 Pu 3.08, 1 Sc 3.13, 3 Er 3.37-3.41
Er 0.2427 0.0000 0.7517  1 Pu 2.86, 1 Sc 2.97
Er 0.2573 0.5000 0.2483  1 Pu 2.86, 1 Sc 2.97
Er 0.2641 0.2838 0.7496  1 Pu 3.08, 1 Sc 3.13, 3 Er 3.37-3.41
Er 0.2641 0.7162 0.7496  1 Pu 3.08, 1 Sc 3.13, 3 Er 3.37-3.41
Er 0.7359 0.2838 0.2504  1 Pu 3.08, 1 Sc 3.13, 3 Er 3.37-3.41
Er 0.7359 0.7162 0.2504  1 Pu 3.08, 1 Sc 3.13, 3 Er 3.37-3.41
Er 0.7427 0.5000 0.7517  1 Pu 2.86, 1 Sc 2.97
Er 0.7573 0.0000 0.2483  1 Pu 2.86, 1 Sc 2.97
Er 0.7641 0.2162 0.7496  1 Pu 3.08, 1 Sc 3.13, 3 Er 3.37-3.41
Er 0.7641 0.7838 0.7496  1 Pu 3.08, 1 Sc 3.13, 3 Er 3.37-3.41
Pu 0.0000 0.0000 0.0000  6 Er 2.86-3.08
Pu 0.5000 0.5000 0.0000  6 Er 2.86-3.08
Sc 0.0000 0.5000 0.5000  6 Er 2.97-3.13
Sc 0.5000 0.0000 0.5000  6 Er 2.97-3.13

DFT formation energy	375	meV/atom

***

Record 3
Density functional theory data (PBE) for crystalline TbNdMg2 at its relaxed geometry.

Lattice parameters (Å, degrees): 7.6813 7.6813 7.6813 90.00 90.00 90.00
Closest atoms and distances in Å follow each position.
Sites, in units of the cell vectors:
Tb 0.0000 0.0000 0.0000  8 Mg 3.33
Tb 0.0000 0.5000 0.5000  8 Mg 3.33
Tb 0.5000 0.0000 0.5000  8 Mg 3.33
Tb 0.5000 0.5000 0.0000  8 Mg 3.33
Nd 0.0000 0.0000 0.5000  8 Mg 3.33
Nd 0.0000 0.5000 0.0000  8 Mg 3.33
Nd 0.5000 0.0000 0.0000  8 Mg 3.33
Nd 0.5000 0.5000 0.5000  8 Mg 3.33
Mg 0.2500 0.2500 0.2500  4 Tb 3.33, 4 Nd 3.33
Mg 0.2500 0.2500 0.7500  4 Tb 3.33, 4 Nd 3.33
Mg 0.2500 0.7500 0.2500  4 Tb 3.33, 4 Nd 3.33
Mg 0.2500 0.7500 0.7500  4 Tb 3.33, 4 Nd 3.33
Mg 0.7500 0.2500 0.2500  4 Tb 3.33, 4 Nd 3.33
Mg 0.7500 0.2500 0.7500  4 Tb 3.33, 4 Nd 3.33
Mg 0.7500 0.7500 0.2500  4 Tb 3.33, 4 Nd 3.33
Mg 0.7500 0.7500 0.7500  4 Tb 3.33, 4 Nd 3.33

DFT formation energy	-104	meV/atom
polymorph energy (0 for the lowest one)	0.000	eV/atom

***

Record 4
Density functional theory data (PBE) for crystalline GaGe2Rh2 at its relaxed geometry.

Lattice parameters (Å, degrees): 6.1899 6.1899 4.9770 109.25 109.25 82.18
Closest atoms and distances in Å follow each position.
Sites, in units of the cell vectors:
Ga 0.1108 0.8892 0.7500  4 Rh 2.49-2.59
Ga 0.8892 0.1108 0.2500  4 Rh 2.49-2.59
Ge 0.1809 0.3874 0.9092  4 Rh 2.47-2.55, 1 Ge 2.73
Ge 0.3874 0.1809 0.4092  4 Rh 2.47-2.55, 1 Ge 2.73
Ge 0.6126 0.8191 0.5908  4 Rh 2.47-2.55, 1 Ge 2.73
Ge 0.8191 0.6126 0.0908  4 Rh 2.47-2.55, 1 Ge 2.73
Rh 0.2003 0.7997 0.2500  3 Ga 2.53-2.59, 4 Ge 2.54-2.55
Rh 0.4173 0.5827 0.7500  4 Ge 2.47-2.50, 1 Ga 2.49
Rh 0.5827 0.4173 0.2500  4 Ge 2.47-2.50, 1 Ga 2.49
Rh 0.7997 0.2003 0.7500  3 Ga 2.53-2.59, 4 Ge 2.54-2.55

DFT formation energy	-402	meV/atom
polymorph energy (0 for the lowest one)	0.000	eV/atom

***

Record 5
Density functional theory data (PBE) for crystalline NdTe at its relaxed geometry.

Lattice parameters (Å, degrees): 3.4363 3.4363 6.2226 90.00 90.00 90.00
Closest atoms and distances in Å follow each position.
Sites, in units of the cell vectors:
Nd 0.0000 0.0000 0.0000  2 Te 3.11, 4 Nd 3.44
Te 0.0000 0.0000 0.5000  2 Nd 3.11, 4 Te 3.44

ΔE_f (raw)	-0.092	eV/atom

***

Record 6
Density functional theory data (PBE) for crystalline Ru2O5 at its relaxed geometry.

Lattice parameters (Å, degrees): 6.6096 6.6096 5.3354 101.07 101.07 42.12
Closest atoms and distances in Å follow each position.
Sites, in units of the cell vectors:
Ru 0.1027 0.6155 0.7190  6 O 1.86-2.06
Ru 0.3845 0.8973 0.7810  6 O 1.86-2.06
Ru 0.6155 0.1027 0.2190  6 O 1.86-2.06
Ru 0.8973 0.3845 0.2810  6 O 1.86-2.06
O 0.0371 0.1629 0.9668  2 Ru 1.86-1.89
O 0.1629 0.0371 0.4668  2 Ru 1.86-1.89
O 0.2188 0.3781 0.3707  3 Ru 2.00-2.06
O 0.3781 0.2188 0.8707  3 Ru 2.00-2.06
O 0.4161 0.5839 0.7500  2 Ru 1.90
O 0.5839 0.4161 0.2500  2 Ru 1.90
O 0.6219 0.7812 0.1293  3 Ru 2.00-2.06
O 0.7812 0.6219 0.6293  3 Ru 2.00-2.06
O 0.8371 0.9629 0.5332  2 Ru 1.86-1.89
O 0.9629 0.8371 0.0332  2 Ru 1.86-1.89

ΔE_f (raw)	-0.851	eV/atom

***

Record 7
Density functional theory data (PBE) for crystalline Sr2ScP at its relaxed geometry.

Lattice parameters (Å, degrees): 7.6444 7.6444 7.6444 90.00 90.00 90.00
Closest atoms and distances in Å follow each position.
Sites, in units of the cell vectors:
Sr 0.0000 0.0000 0.0000  4 Sc 3.31, 4 Sr 3.31
Sr 0.0000 0.5000 0.5000  4 Sc 3.31, 4 Sr 3.31
Sr 0.2500 0.2500 0.2500  4 Sr 3.31, 4 P 3.31
Sr 0.2500 0.7500 0.7500  4 Sr 3.31, 4 P 3.31
Sr 0.5000 0.0000 0.5000  4 Sc 3.31, 4 Sr 3.31
Sr 0.5000 0.5000 0.0000  4 Sc 3.31, 4 Sr 3.31
Sr 0.7500 0.2500 0.7500  4 Sr 3.31, 4 P 3.31
Sr 0.7500 0.7500 0.2500  4 Sr 3.31, 4 P 3.31
Sc 0.2500 0.2500 0.7500  4 Sr 3.31, 4 P 3.31
Sc 0.2500 0.7500 0.2500  4 Sr 3.31, 4 P 3.31
Sc 0.7500 0.2500 0.2500  4 Sr 3.31, 4 P 3.31
Sc 0.7500 0.7500 0.7500  4 Sr 3.31, 4 P 3.31
P 0.0000 0.0000 0.5000  4 Sc 3.31, 4 Sr 3.31
P 0.0000 0.5000 0.0000  4 Sc 3.31, 4 Sr 3.31
P 0.5000 0.0000 0.0000  4 Sc 3.31, 4 Sr 3.31
P 0.5000 0.5000 0.5000  4 Sc 3.31, 4 Sr 3.31

DFT formation energy	194	meV/atom

***

Record 8
Density functional theory data (PBE) for crystalline Co3HgPt at its relaxed geometry.

Lattice parameters (Å, degrees): 4.6403 4.6403 4.6403 90.00 90.00 90.00
Closest atoms and distances in Å follow each position.
Sites, in units of the cell vectors:
Co 0.0000 0.0000 0.5000  2 Pt 2.32
Co 0.0000 0.5000 0.0000  2 Pt 2.32
Co 0.5000 0.0000 0.0000  2 Pt 2.32
Hg 0.5000 0.5000 0.5000  12 Co 3.28
Pt 0.0000 0.0000 0.0000  6 Co 2.32

DFT formation energy	1132	meV/atom

***

Record 9
Density functional theory data (PBE) for crystalline YMnMo2 at its relaxed geometry.

Lattice parameters (Å, degrees): 6.5253 6.5253 6.5253 90.00 90.00 90.00
Closest atoms and distances in Å follow each position.
Sites, in units of the cell vectors:
Y 0.0000 0.0000 0.0000  4 Mn 2.83, 4 Mo 2.83
Y 0.0000 0.5000 0.5000  4 Mn 2.83, 4 Mo 2.83
Y 0.5000 0.0000 0.5000  4 Mn 2.83, 4 Mo 2.83
Y 0.5000 0.5000 0.0000  4 Mn 2.83, 4 Mo 2.83
Mn 0.2500 0.2500 0.2500  4 Mo 2.83, 4 Y 2.83
Mn 0.2500 0.7500 0.7500  4 Mo 2.83, 4 Y 2.83
Mn 0.7500 0.2500 0.7500  4 Mo 2.83, 4 Y 2.83
Mn 0.7500 0.7500 0.2500  4 Mo 2.83, 4 Y 2.83
Mo 0.0000 0.0000 0.5000  4 Mo 2.83, 4 Mn 2.83
Mo 0.0000 0.5000 0.0000  4 Mo 2.83, 4 Mn 2.83
Mo 0.2500 0.2500 0.7500  4 Mo 2.83, 4 Y 2.83
Mo 0.2500 0.7500 0.2500  4 Mo 2.83, 4 Y 2.83
Mo 0.5000 0.0000 0.0000  4 Mo 2.83, 4 Mn 2.83
Mo 0.5000 0.5000 0.5000  4 Mn 2.83, 4 Mo 2.83
Mo 0.7500 0.2500 0.2500  4 Mo 2.83, 4 Y 2.83
Mo 0.7500 0.7500 0.7500  4 Mo 2.83, 4 Y 2.83

DFT formation energy	372	meV/atom
polymorph energy (0 for the lowest one)	0.127	eV/atom

***

Record 10
Density functional theory data (PBE) for crystalline Ag3RhBr at its relaxed geometry.

Lattice parameters (Å, degrees): 5.0225 5.0225 5.0225 90.00 90.00 90.00
Closest atoms and distances in Å follow each position.
Sites, in units of the cell vectors:
Ag 0.0000 0.0000 0.5000  2 Br 2.51
Ag 0.0000 0.5000 0.0000  2 Br 2.51
Ag 0.5000 0.0000 0.0000  2 Br 2.51
Rh 0.5000 0.5000 0.5000  12 Ag 3.55
Br 0.0000 0.0000 0.0000  6 Ag 2.51

ΔE_f (raw)	1.174	eV/atom
polymorph energy (0 for the lowest one)	0.324	eV/atom

***

Record 11
Density functional theory data (PBE) for crystalline Nd2ZnOs at its relaxed geometry.

Lattice parameters (Å, degrees): 3.5487 3.5487 7.5328 90.00 90.00 90.00
Closest atoms and distances in Å follow each position.
Sites, in units of the cell vectors:
Nd 0.0000 0.0000 0.2302  4 Os 3.05, 4 Zn 3.23
Nd 0.0000 0.0000 0.7698  4 Os 3.05, 4 Zn 3.23
Zn 0.5000 0.5000 0.5000  8 Nd 3.23, 4 Zn 3.55
Os 0.5000 0.5000 0.0000  8 Nd 3.05

DFT formation energy	-102	meV/atom

***

Record 12
Density functional theory data (PBE) for crystalline Th3Mn at its relaxed geometry.

Lattice parameters (Å, degrees): 3.7002 11.7358 9.7590 90.00 90.00 90.00
Closest atoms and distances in Å follow each position.
Sites, in units of the cell vectors:
Th 0.0000 0.0926 0.2500  2 Mn 2.96
Th 0.0000 0.3616 0.0647  2 Mn 2.72
Th 0.0000 0.3616 0.4353  2 Mn 2.72
Th 0.0000 0.6384 0.5647  2 Mn 2.72
Th 0.0000 0.6384 0.9353  2 Mn 2.72
Th 0.0000 0.9074 0.7500  2 Mn 2.96
Th 0.5000 0.1384 0.5647  2 Mn 2.72
Th 0.5000 0.1384 0.9353  2 Mn 2.72
Th 0.5000 0.4074 0.7500  2 Mn 2.96
Th 0.5000 0.5926 0.2500  2 Mn 2.96
Th 0.5000 0.8616 0.0647  2 Mn 2.72
Th 0.5000 0.8616 0.4353  2 Mn 2.72
Mn 0.0000 0.2101 0.7500  6 Th 2.72-2.96
Mn 0.0000 0.7899 0.2500  6 Th 2.72-2.96
Mn 0.5000 0.2899 0.2500  6 Th 2.72-2.96
Mn 0.5000 0.7101 0.7500  6 Th 2.72-2.96

DFT formation energy	51	meV/atom

***

Record 13
Density functional theory data (PBE) for crystalline ScReSi2 at its relaxed geometry.

Lattice parameters (Å, degrees): 4.0727 3.1908 9.2631 90.00 90.00 90.00
Closest atoms and distances in Å follow each position.
Sites, in units of the cell vectors:
Sc 0.0000 0.0000 0.0000  7 Si 2.51-2.68
Sc 0.0000 0.5000 0.5000  7 Si 2.51-2.68
Re 0.5000 0.0000 0.2912  7 Si 2.55-2.65
Re 0.5000 0.5000 0.7912  7 Si 2.55-2.65
Si 0.0000 0.0000 0.7288  2 Si 2.48, 3 Sc 2.51-2.65, 4 Re 2.65
Si 0.0000 0.5000 0.2288  2 Si 2.48, 3 Sc 2.51-2.65, 4 Re 2.65
Si 0.5000 0.0000 0.5768  2 Si 2.48, 3 Re 2.55-2.65, 4 Sc 2.68
Si 0.5000 0.5000 0.0768  2 Si 2.48, 3 Re 2.55-2.65, 4 Sc 2.68

ΔE_f (raw)	-0.406	eV/atom

***

Record 14
Density functional theory data (PBE) for crystalline YOsC2 at its relaxed geometry.

Lattice parameters (Å, degrees): 3.6200 3.6200 18.1581 90.00 90.00 120.00
Closest atoms and distances in Å follow each position.
Sites, in units of the cell vectors:
Y 0.0000 0.0000 0.0000  6 C 2.39
Y 0.3333 0.6667 0.6667  6 C 2.39
Y 0.6667 0.3333 0.3333  6 C 2.39
Os 0.0000 0.0000 0.5000  2 C 1.87
Os 0.3333 0.6667 0.1667  2 C 1.87
Os 0.6667 0.3333 0.8333  2 C 1.87
C 0.0000 0.0000 0.3972  1 Os 1.87
C 0.0000 0.0000 0.6028  1 Os 1.87
C 0.3333 0.6667 0.0639  1 Os 1.87
C 0.3333 0.6667 0.2694  1 Os 1.87
C 0.6667 0.3333 0.7306  1 Os 1.87
C 0.6667 0.3333 0.9361  1 Os 1.87

DFT formation energy	1243	meV/atom
polymorph energy (0 for the lowest one)	0.988	eV/atom